Material: Tb3ScBi4
Method: DFT, PBE-GGA
State: optimized geometry

As for the formation energy from the elements: -809 meV/atom. As for the energy: -42.2 eV for the cell shown. The excess energy over the best structure of this formula in the dataset is 5 meV/atom. Its magnetic moment is 0.000 μB per formula unit.

The structure belongs to space group Pm-3m (No. 221); the cell edges are 6.284, 6.284 and 6.284 Å and the angles 90.00°, 90.00° and 90.00°. The asymmetric unit holds Tb at (0.000, 0.000, 0.500), Sc at (0.500, 0.500, 0.500), Bi at (0.000, 0.000, 0.000) and Bi at (0.000, 0.500, 0.500).